Material: AcCrAgO5
Method: DFT, PBE with a Hubbard U
State: optimized geometry

Output
Total energy ... -6.596 eV per atom

```
data_AcCrAgO5
_symmetry_space_group_name_H-M 'C 1 2/c 1'
_symmetry_Int_Tables_number 15
_cell_length_a 9.0098
_cell_length_b 9.2769
_cell_length_c 8.9381
_cell_angle_alpha 90.00
_cell_angle_beta 118.89
_cell_angle_gamma 90.00
loop_
_symmetry_equiv_pos_as_xyz
'x,y,z'
'-x,-y,-z'
'-x,y,-z+1/2'
'x,-y,z+1/2'
'x+1/2,y+1/2,z'
'-x+1/2,-y+1/2,-z'
'-x+1/2,y+1/2,-z+1/2'
'x+1/2,-y+1/2,z+1/2'
loop_
_atom_site_label
_atom_site_type_symbol
_atom_site_fract_x
_atom_site_fract_y
_atom_site_fract_z
_atom_site_occupancy
Ac1 Ac 0.0000 0.0000 0.0000 1
Cr1 Cr 0.0000 0.3654 0.2500 1
Ag1 Ag 0.0000 0.3149 0.7500 1
O1 O 0.0000 0.0892 0.7500 1
O2 O 0.0157 0.2613 0.1076 1
O3 O 0.1750 0.4689 0.3492 1
```

=====

Material: AcCr2AgO8
Method: DFT, PBE with a Hubbard U
State: optimized geometry

Output
Total energy ... -6.731 eV per atom

```
data_AcCr2AgO8
_symmetry_space_group_name_H-M 'P -3 m 1'
_symmetry_Int_Tables_number 164
_symmetry_space_group_name_Hall '-P 3 2"'
_cell_length_a 5.6413
_cell_length_b 5.6413
_cell_length_c 7.4575
_cell_angle_alpha 90.00
_cell_angle_beta 90.00
_cell_angle_gamma 120.00
loop_
_atom_site_label
_atom_site_type_symbol
_atom_site_fract_x
_atom_site_fract_y
_atom_site_fract_z
_atom_site_occupancy
Ac1 Ac 0.0000 0.0000 0.0000 1
Cr1 Cr 0.3333 0.6667 0.2001 1
Ag1 Ag 0.0000 0.0000 0.5000 1
O1 O 0.1697 0.3394 0.2663 1
O2 O 0.3333 0.6667 0.9783 1
```

=====

Material: Ac2CrAgO5
Method: DFT, PBE with a Hubbard U
State: optimized geometry

Output
Total energy ... -7.188 eV per atom

```
data_Ac2CrAgO5
_symmetry_space_group_name_H-M 'P 4/m m m'
_symmetry_Int_Tables_number 123
_symmetry_space_group_name_Hall '-P 4 2'
_cell_length_a 3.9611
_cell_length_b 3.9611
_cell_length_c 8.6281
_cell_angle_alpha 90.00
_cell_angle_beta 90.00
_cell_angle_gamma 90.00
loop_
_atom_site_label
_atom_site_type_symbol
_atom_site_fract_x
_atom_site_fract_y
_atom_site_fract_z
_atom_site_occupancy
Ac1 Ac 0.0000 0.0000 0.2261 1
Cr1 Cr 0.5000 0.5000 0.0000 1
Ag1 Ag 0.5000 0.5000 0.5000 1
O1 O 0.0000 0.0000 0.5000 1
O2 O 0.0000 0.5000 0.0000 1
O3 O 0.5000 0.5000 0.2362 1
```

=====

Material: AcCrAgO4
Method: DFT, PBE with a Hubbard U
State: optimized geometry

Output
Total energy ... -6.762 eV per atom

```
data_AcCrAgO4
_symmetry_space_group_name_H-M 'P 1 21/m 1'
_symmetry_Int_Tables_number 11
_cell_length_a 6.3395
_cell_length_b 5.5324
_cell_length_c 8.2187
_cell_angle_alpha 90.00
_cell_angle_beta 106.36
_cell_angle_gamma 90.00
loop_
_symmetry_equiv_pos_as_xyz
'x,y,z'
'-x,-y,-z'
'-x,y+1/2,-z'
'x,-y+1/2,z'
loop_
_atom_site_label
_atom_site_type_symbol
_atom_site_fract_x
_atom_site_fract_y
_atom_site_fract_z
_atom_site_occupancy
Ac1 Ac 0.2104 0.2500 0.4328 1
Cr1 Cr 0.3422 0.7500 0.6992 1
Ag1 Ag 0.2524 0.2500 0.9173 1
O1 O 0.1552 0.0001 0.6846 1
O2 O 0.3689 0.7500 0.4850 1
O3 O 0.3717 0.2500 0.1848 1
```

=====

Material: AcCrAg2O4
Method: DFT, PBE with a Hubbard U
State: optimized geometry

Output
Total energy ... -6.056 eV per atom

```
data_AcCrAg2O4
_symmetry_space_group_name_H-M 'F m m 2'
_symmetry_Int_Tables_number 42
_symmetry_space_group_name_Hall 'F 2 -2'
_cell_length_a 7.5883
_cell_length_b 8.7540
_cell_length_c 7.4611
_cell_angle_alpha 90.00
_cell_angle_beta 90.00
_cell_angle_gamma 90.00
loop_
_atom_site_label
_atom_site_type_symbol
_atom_site_fract_x
_atom_site_fract_y
_atom_site_fract_z
_atom_site_occupancy
Ac1 Ac 0.0000 0.0000 0.0000 1
Cr1 Cr 0.0000 0.0000 0.5297 1
Ag1 Ag 0.2500 0.2500 0.2788 1
O1 O 0.0000 0.2169 0.4627 1
O2 O 0.2059 0.0000 0.6781 1
```